Pu3Th2N4 (GGA-PBE, optimized geometry); mass density = 13.2 g cm⁻³; calculated total energy = -11.26 eV/atom; space-group type = No. 12; M_tot = 14.976 μB/f.u.; energy relative to the elements, uncorrected = -1.13 eV per atom; crystal system = monoclinic
1.0
5.900 -1.772 0.000
5.900 1.772 0.000
-4.359 0.000 7.545
Pu Th N
3 2 4
direct
0.000 0.000 0.000
0.204 0.204 0.807
0.796 0.796 0.193
0.400 0.400 0.609
0.600 0.600 0.391
0.201 0.201 0.296
0.391 0.391 0.084
0.609 0.609 0.916
0.799 0.799 0.704


Pu3ThN (GGA-PBE, optimized geometry); mass density = 14.0 g cm⁻³; calculated total energy = -12.02 eV/atom; space-group type = No. 221; M_tot = 16.080 μB/f.u.; energy relative to the elements, uncorrected = -0.28 eV per atom; crystal system = cubic
1.0
4.875 0.000 0.000
0.000 4.875 0.000
0.000 0.000 4.875
Pu Th N
3 1 1
direct
0.000 0.000 0.500
0.000 0.500 0.000
0.500 0.000 0.000
0.500 0.500 0.500
0.000 0.000 0.000


PuTh3N6 (GGA-PBE, optimized geometry); mass density = 10.5 g cm⁻³; calculated total energy = -9.97 eV/atom; space-group type = No. 146; M_tot = 2.000 μB/f.u.; energy relative to the elements, uncorrected = -1.32 eV per atom; crystal system = trigonal
1.0
3.062 1.768 4.974
-3.062 1.768 4.974
0.000 -3.536 4.974
Pu Th N
1 3 6
direct
0.000 0.000 0.000
0.225 0.225 0.225
0.489 0.489 0.489
0.720 0.720 0.720
0.107 0.815 0.357
0.283 0.639 0.876
0.357 0.107 0.815
0.639 0.876 0.283
0.815 0.357 0.107
0.876 0.283 0.639


PuThN2 (GGA-PBE, optimized geometry); mass density = 12.5 g cm⁻³; calculated total energy = -10.76 eV/atom; space-group type = No. 160; M_tot = 5.595 μB/f.u.; energy relative to the elements, uncorrected = -1.16 eV per atom; crystal system = trigonal
1.0
3.556 0.000 0.000
-1.778 3.079 0.000
0.000 0.000 18.293
Pu Th N
3 3 6
direct
0.000 0.000 0.000
0.333 0.667 0.667
0.667 0.333 0.333
0.000 0.000 0.172
0.333 0.667 0.838
0.667 0.333 0.505
0.000 0.000 0.585
0.000 0.000 0.757
0.333 0.667 0.252
0.333 0.667 0.424
0.667 0.333 0.090
0.667 0.333 0.918


TmPu2ThN4 (GGA-PBE, optimized geometry); mass density = 12.8 g cm⁻³; calculated total energy = -10.65 eV/atom; space-group type = No. 10; M_tot = 0.265 μB/f.u.; energy relative to the elements, uncorrected = -1.41 eV per atom; crystal system = monoclinic
1.0
6.064 0.000 0.000
0.000 3.525 0.000
-2.080 0.000 5.739
Tm Pu Th N
1 2 1 4
direct
0.000 0.000 0.000
0.500 0.000 0.500
0.500 0.500 0.000
0.000 0.500 0.500
0.253 0.500 0.246
0.255 0.000 0.767
0.745 0.000 0.233
0.747 0.500 0.754


Pu3Th2UN6 (GGA-PBE, optimized geometry); mass density = 13.4 g cm⁻³; calculated total energy = -11.29 eV/atom; space-group type = No. 12; M_tot = 15.627 μB/f.u.; energy relative to the elements, uncorrected = -1.37 eV per atom; crystal system = monoclinic
1.0
3.079 -5.330 0.000
3.079 5.330 0.000
-2.052 0.000 5.743
Pu Th U N
3 2 1 6
direct
0.000 0.000 0.000
0.333 0.667 0.000
0.667 0.333 0.000
0.166 0.834 0.500
0.834 0.166 0.500
0.500 0.500 0.500
0.107 0.418 0.255
0.271 0.271 0.748
0.418 0.107 0.255
0.582 0.893 0.745
0.729 0.729 0.252
0.893 0.582 0.745


PuTh2UN4 (GGA-PBE, optimized geometry); mass density = 13.1 g cm⁻³; calculated total energy = -10.64 eV/atom; space-group type = No. 10; M_tot = 5.578 μB/f.u.; energy relative to the elements, uncorrected = -1.42 eV per atom; crystal system = monoclinic
1.0
6.143 0.000 0.000
0.000 3.555 0.000
-2.042 0.000 5.826
Pu Th U N
1 2 1 4
direct
0.000 0.000 0.000
0.000 0.500 0.500
0.500 0.000 0.500
0.500 0.500 0.000
0.257 0.500 0.226
0.270 0.000 0.778
0.730 0.000 0.222
0.743 0.500 0.774


Pu2Th3UN6 (GGA-PBE, optimized geometry); mass density = 13.0 g cm⁻³; calculated total energy = -10.77 eV/atom; space-group type = No. 12; M_tot = 10.066 μB/f.u.; energy relative to the elements, uncorrected = -1.42 eV per atom; crystal system = monoclinic
1.0
3.083 -5.333 0.000
3.083 5.333 0.000
-2.053 0.000 5.831
Pu Th U N
2 3 1 6
direct
0.167 0.833 0.000
0.833 0.167 0.000
0.000 0.000 0.500
0.331 0.669 0.500
0.669 0.331 0.500
0.500 0.500 0.000
0.108 0.425 0.775
0.261 0.261 0.232
0.425 0.108 0.775
0.575 0.892 0.225
0.739 0.739 0.768
0.892 0.575 0.225